Entry 1:
HgMoAsBr2: optimized geometry, GGA-PBE.

abc: 5.5482 5.5482 5.2564
angles: 90.00 90.00 90.00
Last column: nearest neighbours and their distance in Å.
Space group P4/mmm (No. 123)
Asymmetric unit:
1 Hg 0.0000 0.0000 0.0000 [1 per cell]  2 As 2.63, 4 Br 2.77
2 Mo 0.5000 0.5000 0.5000 [1 per cell]  8 Br 3.82, 4 As 3.92
3 As 0.0000 0.0000 0.5000 [1 per cell]  2 Hg 2.63
4 Br 0.0000 0.5000 0.0000 [2 per cell]  2 Hg 2.77

Polymorph energy (0 for the lowest one) in meV/atom: 928

Entry 2:
HgAsBr2N: optimized geometry, GGA-PBE.

abc: 4.6450 4.6450 4.7695
angles: 90.00 90.00 90.00
Last column: nearest neighbours and their distance in Å.
Space group P4/mmm (No. 123)
Asymmetric unit:
1 Hg 0.0000 0.0000 0.0000 [1 per cell]  4 As 3.28, 8 Br 3.33
2 As 0.5000 0.5000 0.0000 [1 per cell]  2 N 2.38
3 Br 0.0000 0.5000 0.5000 [2 per cell]  2 N 2.32
4 N 0.5000 0.5000 0.5000 [1 per cell]  4 Br 2.32, 2 As 2.38

Polymorph energy (0 for the lowest one) in meV/atom: 0